[1]
Density functional theory data (PBE) for a relaxed Ce2PrEr3As6 crystal.

Lattice parameters (Å, degrees): 4.1709 8.3271 9.3007 102.73 102.96 90.00
With the nearest neighbours (Å) after each atom.
Sites, in units of the cell vectors:
Ce 0.1666 0.3327 0.3333  6 As 2.96-2.98
Ce 0.8334 0.6673 0.6667  6 As 2.96-2.98
As 0.0009 0.7407 0.0019  3 Er 2.89-2.91, 1 Ce 2.96, 2 Pr 3.00
As 0.6652 0.5870 0.3305  3 Er 2.92, 3 Ce 2.97-2.98
As 0.3299 0.9191 0.6597  3 Er 2.90-2.92, 2 Ce 2.97, 1 Pr 3.00
As 0.9991 0.2593 0.9981  3 Er 2.89-2.91, 1 Ce 2.96, 2 Pr 3.00
As 0.6701 0.0809 0.3403  3 Er 2.90-2.92, 2 Ce 2.97, 1 Pr 3.00
As 0.3348 0.4130 0.6695  3 Er 2.92, 3 Ce 2.97-2.98
Er 0.5000 0.5000 0.0000  6 As 2.89-2.92
Er 0.8342 0.1666 0.6684  6 As 2.90-2.92
Er 0.1658 0.8334 0.3316  6 As 2.90-2.92
Pr 0.5000 0.0000 0.0000  6 As 3.00

Computed properties:
The value obtained for the density is 7.43 g/cm³. Its energy is -6.334 eV per atom.

***

[2]
Density functional theory data (PBE) for a relaxed Er3ScTl3 crystal.

Lattice parameters (Å, degrees): 5.5675 8.9613 8.9613 120.00 90.00 90.00
With the nearest neighbours (Å) after each atom.
Sites, in units of the cell vectors:
Tl 0.7500 0.0542 0.8024  5 Er 3.26-3.48, 1 Sc 3.28, 6 Tl 3.46-3.56
Tl 0.2500 0.9458 0.1976  5 Er 3.26-3.48, 1 Sc 3.28, 6 Tl 3.46-3.56
Tl 0.7500 0.7482 0.9458  5 Er 3.26-3.48, 1 Sc 3.28, 6 Tl 3.46-3.56
Tl 0.2500 0.8024 0.7482  5 Er 3.26-3.48, 1 Sc 3.28, 6 Tl 3.46-3.56
Tl 0.2500 0.2518 0.0542  5 Er 3.26-3.48, 1 Sc 3.28, 6 Tl 3.46-3.56
Tl 0.7500 0.1976 0.2518  5 Er 3.26-3.48, 1 Sc 3.28, 6 Tl 3.46-3.56
Sc 0.7500 0.3333 0.6667  3 Tl 3.28, 9 Er 3.42-3.44
Sc 0.2500 0.6667 0.3333  3 Tl 3.28, 9 Er 3.42-3.44
Er 0.7500 0.9016 0.3614  5 Tl 3.26-3.48, 3 Sc 3.42-3.44, 4 Er 3.45-3.56
Er 0.7500 0.4598 0.0984  5 Tl 3.26-3.48, 3 Sc 3.42-3.44, 4 Er 3.45-3.56
Er 0.2500 0.3614 0.4598  5 Tl 3.26-3.48, 3 Sc 3.42-3.44, 4 Er 3.45-3.56
Er 0.2500 0.5402 0.9016  5 Tl 3.26-3.48, 3 Sc 3.42-3.44, 4 Er 3.45-3.56
Er 0.2500 0.0984 0.6386  5 Tl 3.26-3.48, 3 Sc 3.42-3.44, 4 Er 3.45-3.56
Er 0.7500 0.6386 0.5402  5 Tl 3.26-3.48, 3 Sc 3.42-3.44, 4 Er 3.45-3.56

Computed properties:
The value obtained for the density is 9.95 g/cm³. Its energy is -3.974 eV per atom.

***

[3]
Density functional theory data (PBE) for a relaxed Co3BiAu crystal.

Lattice parameters (Å, degrees): 4.7130 4.7130 4.7130 90.00 90.00 90.00
With the nearest neighbours (Å) after each atom.
Sites, in units of the cell vectors:
Co 0.0000 0.5000 0.0000  2 Au 2.36
Co 0.5000 0.0000 0.0000  2 Au 2.36
Co 0.0000 0.0000 0.5000  2 Au 2.36
Bi 0.5000 0.5000 0.5000  12 Co 3.33
Au 0.0000 0.0000 0.0000  6 Co 2.36

Computed properties:
The value obtained for the density is 9.24 g/cm³. The energy above the lowest structure with this stoichiometry is 0 kJ/mol of formula units. Its energy is -4.489 eV per atom.

***

[4]
Density functional theory data (PBE) for a relaxed TbGa2Ag crystal.

Lattice parameters (Å, degrees): 4.8399 4.8399 4.8399 60.00 60.00 60.00
With the nearest neighbours (Å) after each atom.
Sites, in units of the cell vectors:
Ga 0.7500 0.7500 0.7500  4 Tb 2.96, 4 Ag 2.96
Ga 0.2500 0.2500 0.2500  4 Tb 2.96, 4 Ag 2.96
Tb 0.0000 0.0000 0.0000  8 Ga 2.96
Ag 0.5000 0.5000 0.5000  8 Ga 2.96

Computed properties:
The value obtained for the density is 8.41 g/cm³. Its energy is -3.747 eV per atom.